No. 1
## NaVO2F (PBE+U)

Data for a relaxed NaVO2F crystal.

Cell and atoms, written as POSCAR:
```
NaVO2F
1.0
3.772 0.000 0.000
0.000 3.772 0.000
0.000 0.000 4.098
Na V O F
1 1 2 1
Cartesian
0.000 0.000 0.000
1.886 1.886 2.049
0.000 1.886 2.049
1.886 0.000 2.049
1.886 1.886 0.000
```

Summary:
As for the space group: P4/mmm, No. 123. The crystal system is tetragonal. The density of states at the Fermi level is 0.44 states/eV/cell. The magnetic moment is 1.00 μB/cell. The calculation puts the total energy at -6.2432 eV/atom. Its mass density is 3.558 g/cm³.

No. 2
## NaVO2F2 (PBE+U)

Data for a relaxed NaVO2F2 crystal.

Cell and atoms, written as POSCAR:
```
NaVO2F2
1.0
6.558 0.000 0.000
0.000 3.570 0.000
-2.471 0.000 6.877
Na V O F
2 2 4 4
Cartesian
0.341 0.000 1.492
3.747 1.785 5.385
0.441 0.006 5.424
3.646 1.791 1.453
0.038 0.007 3.853
0.540 1.787 5.932
3.547 0.002 0.945
4.049 1.792 3.024
-1.386 3.569 6.090
1.770 1.784 1.679
2.317 3.569 5.198
5.473 1.784 0.787
```

Summary:
As for the space group: P2_1, No. 4. The crystal system is monoclinic. The density of states at the Fermi level is 0.00 states/eV/cell. The magnetic moment is 0.00 μB/cell. The calculation puts the total energy at -6.0544 eV/atom. Its mass density is 2.969 g/cm³.

No. 3
## NaVO2F (PBE+U)

Data for a relaxed NaVO2F crystal.

Cell and atoms, written as POSCAR:
```
NaVO2F
1.0
4.012 0.000 0.000
0.000 4.012 0.000
0.000 0.000 3.880
Na V O F
1 1 2 1
Cartesian
0.000 0.000 0.000
2.006 2.006 1.940
0.000 2.006 0.000
2.006 0.000 0.000
0.000 0.000 1.940
```

Summary:
As for the space group: P4/mmm, No. 123. The crystal system is tetragonal. The density of states at the Fermi level is 8.41 states/eV/cell. The magnetic moment is 2.27 μB/cell. The calculation puts the total energy at -4.3769 eV/atom. Its mass density is 3.322 g/cm³.

No. 4
## NaV2O2F6 (PBE+U)

Data for a relaxed NaV2O2F6 crystal.

Cell and atoms, written as POSCAR:
```
NaV2O2F6
1.0
6.933 0.000 0.000
-3.467 6.004 0.000
0.000 0.000 3.659
Na V O F
1 2 2 6
Cartesian
0.000 0.000 0.000
0.000 4.003 2.753
3.467 2.001 0.906
0.000 4.003 0.917
3.467 2.001 2.741
-1.709 4.618 2.746
0.321 2.215 2.746
2.079 0.829 0.913
1.387 5.175 2.746
3.145 3.789 0.913
5.175 1.386 0.913
```

Summary:
As for the space group: P-3, No. 147. The crystal system is trigonal. The density of states at the Fermi level is 3.13 states/eV/cell. The magnetic moment is 1.00 μB/cell. The calculation puts the total energy at -5.7556 eV/atom. Its mass density is 2.953 g/cm³.

No. 5
## NaV2O4F (PBE+U)

Data for a relaxed NaV2O4F crystal.

Cell and atoms, written as POSCAR:
```
NaV2O4F
1.0
3.826 0.000 0.000
0.000 5.112 0.000
0.000 0.000 11.095
Na V O F
2 4 8 2
Cartesian
0.000 0.628 0.000
1.913 4.483 5.548
0.000 2.058 3.953
0.000 2.090 7.345
1.913 3.022 1.798
1.913 3.053 9.501
0.000 0.412 4.168
0.000 2.563 9.219
0.000 2.785 2.121
0.000 2.850 5.750
1.913 2.262 0.202
1.913 2.327 7.669
1.913 2.549 3.672
1.913 4.699 9.716
0.000 0.247 7.077
1.913 4.864 1.529
```

Summary:
As for the space group: Pmn2_1, No. 31. The crystal system is orthorhombic. The density of states at the Fermi level is 0.00 states/eV/cell. The magnetic moment is 4.00 μB/cell. The calculation puts the total energy at -6.8513 eV/atom. Its mass density is 3.182 g/cm³.

No. 6
## Na2WO2F4 (PBE+U)

Data for a relaxed Na2WO2F4 crystal.

Cell and atoms, written as POSCAR:
```
Na2WO2F4
1.0
5.115 0.000 0.000
0.000 18.734 0.000
0.000 0.000 5.536
Na W O F
8 4 8 16
Cartesian
0.000 0.939 1.384
0.000 5.086 4.152
0.000 13.649 1.384
0.000 17.796 4.152
2.558 4.282 1.384
2.558 8.429 4.152
2.558 10.306 1.384
2.558 14.453 4.152
0.000 7.349 1.384
0.000 11.386 4.152
2.558 2.019 4.152
2.558 16.716 1.384
1.170 8.457 0.633
1.170 10.277 3.401
1.388 0.910 3.401
1.388 17.824 0.633
3.728 0.910 4.903
3.728 17.824 2.135
3.945 8.457 2.135
3.945 10.277 4.903
1.019 5.722 0.589
1.019 13.013 3.357
1.080 7.008 2.995
1.080 11.727 0.227
1.477 2.359 0.227
1.477 16.375 2.995
1.539 3.646 3.357
1.539 15.089 0.589
3.576 3.646 4.947
3.576 15.089 2.179
3.638 2.359 2.540
3.638 16.375 5.308
4.035 7.008 5.308
4.035 11.727 2.540
4.097 5.722 2.179
4.097 13.013 4.947
```

Summary:
As for the space group: Pbcn, No. 60. The crystal system is orthorhombic. The density of states at the Fermi level is 0.00 states/eV/cell. The magnetic moment is 0.19 μB/cell. The calculation puts the total energy at -5.5837 eV/atom. Its mass density is 4.230 g/cm³. As for the energy above the lowest structure with this stoichiometry: 0 meV per atom.

The lowest mass density belongs to which entry?
NaV2O2F6